Entry 1:
{"formula": "CsKRb2Se", "functional": "PBE", "state": "relaxed", "cell": [[6.9584, 0.0000, 0.0000], [0.0000, 6.9584, 0.0000], [0.0000, 0.0000, 6.6454]], "species": ["Cs", "K", "Rb", "Rb", "Se"], "frac_coords": [[0.0000, 0.0000, 0.0000], [0.5000, 0.5000, 0.0000], [0.0000, 0.5000, 0.5000], [0.5000, 0.0000, 0.5000], [0.5000, 0.5000, 0.5000]], "mass_density_g_cm3": 2.18, "total_magnetization_mub_per_fu": 0.00, "energy_ev_per_atom": -2.0031, "raw_formation_energy_ev_per_atom": -0.53}


Entry 2:
{"formula": "CsKRb2Se", "functional": "PBE", "state": "relaxed", "cell": [[6.8476, 0.0000, 0.0000], [0.0000, 6.8476, 0.0000], [0.0000, 0.0000, 7.1703]], "species": ["Cs", "K", "Rb", "Rb", "Se"], "frac_coords": [[0.0000, 0.0000, 0.0000], [0.5000, 0.5000, 0.0000], [0.0000, 0.5000, 0.5000], [0.5000, 0.0000, 0.5000], [0.0000, 0.0000, 0.5000]], "mass_density_g_cm3": 2.08, "total_magnetization_mub_per_fu": 0.00, "energy_ev_per_atom": -2.0233, "raw_formation_energy_ev_per_atom": -0.55}


Entry 3:
{"formula": "CsK2RbSe", "functional": "PBE", "state": "relaxed", "cell": [[6.6520, 0.0000, 0.0000], [0.0000, 6.6520, 0.0000], [0.0000, 0.0000, 6.9379]], "species": ["Cs", "K", "K", "Rb", "Se"], "frac_coords": [[0.0000, 0.0000, 0.0000], [0.0000, 0.5000, 0.5000], [0.5000, 0.0000, 0.5000], [0.5000, 0.5000, 0.0000], [0.5000, 0.5000, 0.5000]], "mass_density_g_cm3": 2.03, "total_magnetization_mub_per_fu": 0.00, "energy_ev_per_atom": -2.0335, "raw_formation_energy_ev_per_atom": -0.53}